#i
A plane-wave DFT calculation with GGA-PBE was carried out for a relaxed structure of CaSm4Ho.

abc: 6.729 6.729 6.729
angles: 60.00 60.00 60.00
Positions (direct):
Sm1 0.627 0.627 0.627
Sm2 0.627 0.120 0.627
Sm3 0.627 0.627 0.120
Sm4 0.120 0.627 0.627
Ca1 0.250 0.250 0.250
Ho1 0.000 0.000 0.000

Output
Crystal system: cubic
Fermi-level density of states (states/eV/f.u.): 8.95
Spin magnetization (μB per formula unit): 0.00

=====

#ii
A plane-wave DFT calculation with GGA-PBE was carried out for a relaxed structure of CaSm4Ho.

abc: 3.613 5.162 11.013
angles: 90.00 89.99 90.00
Positions (direct):
Ca1 0.500 0.000 0.500
Ho1 0.000 0.500 0.000
Sm1 0.999 0.500 0.318
Sm2 0.501 0.000 0.840
Sm3 0.001 0.500 0.682
Sm4 0.499 0.000 0.160

Output
Crystal system: orthorhombic
Fermi-level density of states (states/eV/f.u.): 9.30
Spin magnetization (μB per formula unit): 0.00

=====

Of them, the most stable is #ii and the least stable is #i.

=====

#i
A plane-wave DFT calculation with GGA-PBE was carried out for a relaxed structure of Ca2TbHo.

abc: 5.539 5.050 5.050
angles: 90.00 90.00 90.00
Positions (direct):
Ho1 0.500 0.000 0.000
Ca1 0.000 0.000 0.500
Ca2 0.000 0.500 0.000
Tb1 0.500 0.500 0.500

Output
Crystal system: tetragonal
Fermi-level density of states (states/eV/f.u.): 7.80
Spin magnetization (μB per formula unit): 0.00

=====

#ii
A plane-wave DFT calculation with GGA-PBE was carried out for a relaxed structure of Ca2TbHo.

abc: 4.126 4.126 8.275
angles: 90.00 90.00 90.00
Positions (direct):
Tb1 0.500 0.500 0.500
Ca1 0.000 0.000 0.751
Ho1 0.500 0.500 0.000
Ca2 0.000 0.000 0.249

Output
Crystal system: tetragonal
Fermi-level density of states (states/eV/f.u.): 6.71
Spin magnetization (μB per formula unit): 0.00

=====

#iii
A plane-wave DFT calculation with GGA-PBE was carried out for a relaxed structure of Ca2TbHo.

abc: 3.567 3.567 13.254
angles: 82.27 82.27 60.00
Site moments in Bohr magnetons follow the coordinates.
Positions (direct):
Ho1 0.500 0.500 0.500  0.20
Ca1 0.088 0.088 0.735  0.03
Tb1 0.000 0.000 0.000  0.23
Ca2 0.912 0.912 0.265  0.03

Output
Crystal system: trigonal
Fermi-level density of states (states/eV/f.u.): 7.30
Spin magnetization (μB per formula unit): 0.84

=====

Of them, the most stable is #i and the least stable is #iii.

=====

#i
A plane-wave DFT calculation with GGA-PBE was carried out for a relaxed structure of CaHo2Tc.

abc: 3.493 3.493 9.174
angles: 90.00 90.00 90.00
Positions (direct):
Ho1 0.000 0.000 0.174
Ca1 0.500 0.500 0.500
Ho2 0.000 0.000 0.826
Tc1 0.500 0.500 0.000

Output
Crystal system: tetragonal
Fermi-level density of states (states/eV/f.u.): 6.42
Spin magnetization (μB per formula unit): 0.00

=====

#ii
A plane-wave DFT calculation with GGA-PBE was carried out for a relaxed structure of CaHo2Tc.

abc: 3.539 3.539 10.974
angles: 80.72 80.72 60.00
Positions (direct):
Tc1 0.500 0.500 0.500
Ho1 0.107 0.107 0.679
Ca1 0.000 0.000 0.000
Ho2 0.893 0.893 0.321

Output
Crystal system: trigonal
Fermi-level density of states (states/eV/f.u.): 4.55
Spin magnetization (μB per formula unit): 0.00

=====

Of them, the most stable is #i and the least stable is #ii.